(1)
VASP calculation (PBE) on Ce3MoN4 after structural relaxation.

Output
As for the space group: No. 166. The calculation puts the energy relative to the elements, uncorrected at -1.17 eV per atom. Its energy is -8.92 eV per atom.

Geometry as extended XYZ:
```
8
Lattice="3.4314 0.0000 0.5239 1.6757 2.9944 0.5239 0.0543 0.0318 11.1436" Properties=species:S:1:pos:R:3 pbc="T T T"
N 3.2408 1.9001 1.7724
N 0.6541 0.3835 7.2149
N 1.9206 1.1261 10.4190
N 4.5072 2.6427 4.9765
Mo 0.0000 0.0000 0.0000
Ce 1.3315 0.7807 2.7785
Ce 2.5807 1.5131 6.0957
Ce 3.8299 2.2456 9.4130
```



(2)
VASP calculation (PBE) on CsLiPtCl6 after structural relaxation.

Output
As for the space group: No. 149. The calculation puts the energy relative to the elements, uncorrected at -1.13 eV per atom. Its energy is -3.34 eV per atom.

Geometry as extended XYZ:
```
9
Lattice="6.4930 0.0006 0.0003 3.2471 5.6228 -0.0002 0.0005 -0.0008 7.8034" Properties=species:S:1:pos:R:3 pbc="T T T"
Cl 2.1945 3.4854 5.2549
Cl 4.2992 3.4854 2.5481
Cl 5.1685 1.9798 5.2552
Cl 1.3252 1.9796 2.5481
Cl 4.1161 0.1571 2.5483
Cl 2.3774 0.1571 5.2552
Cs 6.4936 0.0000 7.8036
Li 6.4932 3.7484 3.9017
Pt 3.2468 1.8741 3.9016
```



(3)
VASP calculation (PBE) on YTmTl after structural relaxation.

Output
Its energy of formation from the pure elements is -0.71 eV per formula unit. As for the excess energy over the best structure of this formula in the dataset: 29 meV/atom. As for the space group: No. 107. Its energy is -4.67 eV per atom.

Geometry as extended XYZ:
```
3
Lattice="-1.0525 2.7909 1.9354 0.7643 -1.7796 2.9819 6.4885 1.9842 -2.5989" Properties=species:S:1:pos:R:3 pbc="T T T"
Tl 5.5842 2.7538 2.3320
Tm 1.2189 1.0406 2.4285
Y 3.6942 1.4498 -0.0817
```



(4)
VASP calculation (PBE) on MgScTeN2 after structural relaxation.

Output
As for the excess energy over the best structure of this formula in the dataset: 0 meV/atom. As for the space group: No. 123. The calculation puts the energy relative to the elements, uncorrected at 0.33 eV per atom. Its energy is -5.22 eV per atom.

Geometry as extended XYZ:
```
5
Lattice="-0.4477 2.9627 -2.8489 -1.9382 -2.6793 -2.4817 -5.2956 1.5586 2.4531" Properties=species:S:1:pos:R:3 pbc="T T T"
Sc 0.0000 0.0000 0.0000
N -0.9691 -1.3397 -1.2409
N -0.2239 1.4814 -1.4245
Mg -3.8408 0.9210 -1.4388
Te -2.6478 0.7793 1.2266
```



(5)
VASP calculation (PBE) on CaPbN3 after structural relaxation.

Output
As for the space group: No. 221. The calculation puts the energy relative to the elements, uncorrected at 1.58 eV per atom. Its energy is -4.56 eV per atom.

Geometry as extended XYZ:
```
5
Lattice="4.4820 0.0000 0.0000 0.0000 4.4820 0.0000 0.0000 0.0000 4.4820" Properties=species:S:1:pos:R:3 pbc="T T T"
N 0.0000 0.0000 2.2410
N 0.0000 2.2410 0.0000
N 2.2410 0.0000 0.0000
Pb 2.2410 2.2410 2.2410
Ca 0.0000 0.0000 0.0000
```



(6)
VASP calculation (PBE) on GeB after structural relaxation.

Output
Its energy of formation from the pure elements is 0.89 eV per formula unit. As for the excess energy over the best structure of this formula in the dataset: 69 meV/atom. As for the space group: No. 19. Its energy is -5.20 eV per atom.

Geometry as extended XYZ:
```
16
Lattice="-3.8213 4.6611 -1.8831 1.3570 -0.8158 -4.7729 -5.4604 -4.7741 -0.7364" Properties=species:S:1:pos:R:3 pbc="T T T"
Ge -0.8892 -0.4659 -1.8525
Ge -6.7070 -1.2833 -2.6573
Ge -4.3216 -4.6219 -5.1579
Ge -1.9117 2.0497 -4.1218
Ge -3.6648 -0.3618 -1.5590
Ge -4.1297 -1.9233 -4.4642
Ge -5.9514 1.0765 -3.9462
Ge -4.1237 1.8149 -5.8110
B -5.0966 -2.1607 -1.6303
B -0.8112 -1.0057 -4.8062
B -0.8962 0.3022 -3.7348
B -3.6619 -2.2886 -2.5196
B -6.7138 -1.1952 -6.2233
B -5.9548 -0.9168 -4.7360
B -3.9869 2.2256 -3.6124
B -4.5776 1.3239 -2.3071
```



(7)
VASP calculation (PBE) on Si3GeO after structural relaxation.

Output
As for the excess energy over the best structure of this formula in the dataset: 0 meV/atom. As for the space group: No. 221. The calculation puts the energy relative to the elements, uncorrected at 0.29 eV per atom. Its energy is -4.88 eV per atom.

Geometry as extended XYZ:
```
5
Lattice="4.2632 0.0000 0.0000 0.0000 4.2632 0.0000 0.0000 0.0000 4.2632" Properties=species:S:1:pos:R:3 pbc="T T T"
O 0.0000 0.0000 0.0000
Ge 2.1316 2.1316 2.1316
Si 0.0000 2.1316 0.0000
Si 2.1316 0.0000 0.0000
Si 0.0000 0.0000 2.1316
```



(8)
VASP calculation (PBE) on Zr2Be4AlPt3 after structural relaxation.

Output
Its energy of formation from the pure elements is -6.89 eV per formula unit. As for the space group: No. 115. Its energy is -6.08 eV per atom.

Geometry as extended XYZ:
```
10
Lattice="-1.8543 -2.4870 2.2071 -1.0904 -1.9326 -3.0937 8.1516 -5.5506 0.5942" Properties=species:S:1:pos:R:3 pbc="T T T"
Be 4.3462 -4.8343 1.4879
Be 0.0000 0.0000 0.0000
Be -1.4724 -2.2098 -0.4433
Be 2.3330 -2.9261 -1.3371
Pt 4.0758 -2.7753 0.2971
Pt 0.4824 -1.6660 -1.4720
Pt 6.1969 -6.0944 1.6228
Zr 5.5936 -5.1463 -1.0994
Zr 1.0856 -2.6140 1.2503
Al 2.6034 -4.9851 -0.1462
```